# 1
# CoMo2Au (GGA-PBE, optimized geometry)
data_CoMo2Au
_chemical_formula_sum 'Co4 Mo8 Au4'
_cell_length_a 6.276
_cell_length_b 6.276
_cell_length_c 6.276
_cell_angle_alpha 90.00
_cell_angle_beta 90.00
_cell_angle_gamma 90.00
_space_group_name_H-M_alt 'F m -3 m'
_space_group_IT_number 225
_space_group_name_Hall '-F 4 2 3'
loop_
_atom_site_label
_atom_site_type_symbol
_atom_site_fract_x
_atom_site_fract_y
_atom_site_fract_z
_atom_site_occupancy
Co1 Co 0.000 0.000 0.000 1
Mo1 Mo 0.250 0.250 0.250 1
Au1 Au 0.000 0.000 0.500 1
# - energy above the most stable polymorph in this dataset (meV per atom) = 412
# - E_form (eV per atom) = 0.57
# - total moment (μB per cell) = 10.5
# - DFT total energy (eV/cell) = -119.1

=====

# 2
# Li4Ac3Sn4 (GGA-PBE, optimized geometry)
data_Li4Ac3Sn4
_chemical_formula_sum 'Li4 Ac3 Sn4'
_cell_length_a 4.645
_cell_length_b 4.780
_cell_length_c 14.088
_cell_angle_alpha 80.28
_cell_angle_beta 80.51
_cell_angle_gamma 90.00
_space_group_name_H-M_alt 'P -1'
_space_group_IT_number 2
loop_
_space_group_symop_operation_xyz
'x,y,z'
'-x,-y,-z'
loop_
_atom_site_label
_atom_site_type_symbol
_atom_site_fract_x
_atom_site_fract_y
_atom_site_fract_z
_atom_site_occupancy
Li1 Li 0.099 0.099 0.303 1
Li2 Li 0.250 0.749 0.001 1
Ac1 Ac 0.345 0.345 0.809 1
Ac2 Ac 0.500 0.000 0.500 1
Sn1 Sn 0.054 0.554 0.393 1
Sn2 Sn 0.196 0.196 0.108 1
# - energy above the most stable polymorph in this dataset (meV per atom) = 71
# - E_form (eV per atom) = -0.57
# - total moment (μB per cell) = 0.0
# - DFT total energy (eV/cell) = -42.2

=====

# 3
# MgNiTe (GGA-PBE, optimized geometry)
data_MgNiTe
_chemical_formula_sum 'Mg2 Ni2 Te2'
_cell_length_a 3.275
_cell_length_b 3.275
_cell_length_c 11.172
_cell_angle_alpha 90.00
_cell_angle_beta 90.00
_cell_angle_gamma 90.00
_space_group_name_H-M_alt 'I 4 m m'
_space_group_IT_number 107
_space_group_name_Hall 'I 4 -2'
loop_
_atom_site_label
_atom_site_type_symbol
_atom_site_fract_x
_atom_site_fract_y
_atom_site_fract_z
_atom_site_occupancy
Mg1 Mg 0.000 0.000 0.000 1
Ni1 Ni 0.000 0.000 0.355 1
Te1 Te 0.000 0.000 0.731 1
# - total moment (μB per cell) = 0.0
# - formation energy (no corrections) (eV per atom) = -0.002
# - DFT total energy (eV/cell) = -21.0

=====

# 4
# CrOsRh2 (GGA-PBE, optimized geometry)
data_CrOsRh2
_chemical_formula_sum 'Cr1 Os1 Rh2'
_cell_length_a 2.697
_cell_length_b 2.697
_cell_length_c 7.504
_cell_angle_alpha 90.00
_cell_angle_beta 90.00
_cell_angle_gamma 90.00
_space_group_name_H-M_alt 'P 4 m m'
_space_group_IT_number 99
loop_
_space_group_symop_operation_xyz
'x,y,z'
'-y,x,z'
'-x,-y,z'
'y,-x,z'
'-x,y,z'
'y,x,z'
'x,-y,z'
'-y,-x,z'
loop_
_atom_site_label
_atom_site_type_symbol
_atom_site_fract_x
_atom_site_fract_y
_atom_site_fract_z
_atom_site_occupancy
Cr1 Cr 0.000 0.000 0.000 1
Os1 Os 0.500 0.500 0.240 1
Rh1 Rh 0.000 0.000 0.494 1
Rh2 Rh 0.500 0.500 0.767 1
# - energy above the most stable polymorph in this dataset (meV per atom) = 65
# - E_form (eV per atom) = 0.00
# - total moment (μB per cell) = 0.0
# - DFT total energy (eV/cell) = -35.6